Version w
VASP calculation (PBE) on crystalline K2AlPb at its relaxed geometry.

Structure (POSCAR):
```
K2AlPb
1.0
3.788 0.000 0.000
0.000 4.052 0.000
0.000 0.000 10.317
K Al Pb
2 1 1
direct
0.000 0.000 0.000
0.500 0.500 0.396
0.500 0.500 0.773
0.000 0.000 0.637
```

Results
Symmetry: Pmm2 (25)

=====

Version x
VASP calculation (PBE) on crystalline K2AlPb at its relaxed geometry.

Structure (POSCAR):
```
K2AlPb
1.0
6.407 0.000 0.000
0.000 11.439 0.000
-0.008 0.000 3.702
K Al Pb
4 2 2
direct
0.250 0.250 0.000
0.250 0.750 0.000
0.750 0.250 0.000
0.750 0.750 0.000
0.000 0.000 0.500
0.500 0.500 0.500
0.000 0.500 0.500
0.500 0.000 0.500
```

Results
Symmetry: C2/m (12)

=====

Which of them is most stable, and which least? Most stable: version w; least stable: version x.

=====

Version w
VASP calculation (PBE) on crystalline KAl2Pb2 at its relaxed geometry.

Structure (POSCAR):
```
KAl2Pb2
1.0
4.191 0.000 0.000
0.000 4.191 0.000
0.000 0.000 17.323
K Al Pb
2 4 4
direct
0.000 0.000 0.000
0.500 0.500 0.500
0.000 0.500 0.250
0.000 0.500 0.750
0.500 0.000 0.250
0.500 0.000 0.750
0.000 0.000 0.366
0.000 0.000 0.634
0.500 0.500 0.134
0.500 0.500 0.866
```

Results
Symmetry: I4/mmm (139)

=====

Version x
VASP calculation (PBE) on crystalline KAl2Pb2 at its relaxed geometry.

Structure (POSCAR):
```
KAl2Pb2
1.0
9.058 0.000 0.000
0.000 9.058 0.000
0.000 0.000 3.493
K Al Pb
2 4 4
direct
0.000 0.000 0.000
0.500 0.500 0.000
0.138 0.362 0.500
0.362 0.862 0.500
0.638 0.138 0.500
0.862 0.638 0.500
0.145 0.645 0.000
0.355 0.145 0.000
0.645 0.855 0.000
0.855 0.355 0.000
```

Results
Symmetry: P4/mbm (127)

=====

Which of them is most stable, and which least? Most stable: version w; least stable: version x.

=====

Version w
VASP calculation (PBE) on crystalline KAl2Pb2 at its relaxed geometry.

Structure (POSCAR):
```
KAl2Pb2
1.0
8.859 0.000 0.000
0.000 8.859 0.000
0.000 0.000 3.553
K Al Pb
2 4 4
direct
0.000 0.000 0.000
0.500 0.500 0.000
0.117 0.383 0.000
0.383 0.883 0.000
0.617 0.117 0.000
0.883 0.617 0.000
0.167 0.667 0.500
0.333 0.167 0.500
0.667 0.833 0.500
0.833 0.333 0.500
```

Results
Symmetry: P4/mbm (127)

=====

Version x
VASP calculation (PBE) on crystalline KAl2Pb2 at its relaxed geometry.

Structure (POSCAR):
```
KAl2Pb2
1.0
5.099 0.000 0.000
0.000 5.099 0.000
0.000 0.000 11.529
K Al Pb
2 4 4
direct
0.000 0.000 0.000
0.500 0.500 0.500
0.000 0.000 0.386
0.000 0.000 0.614
0.500 0.500 0.114
0.500 0.500 0.886
0.000 0.500 0.250
0.000 0.500 0.750
0.500 0.000 0.250
0.500 0.000 0.750
```

Results
Symmetry: I4/mmm (139)

=====

Which of them is most stable, and which least? Most stable: version x; least stable: version w.

=====

Version w
VASP calculation (PBE) on crystalline KAl3Pb at its relaxed geometry.

Structure (POSCAR):
```
KAl3Pb
1.0
5.664 0.000 0.000
0.000 5.664 0.000
0.000 0.000 5.664
K Al Pb
1 3 1
direct
0.000 0.000 0.000
0.000 0.500 0.500
0.500 0.000 0.500
0.500 0.500 0.000
0.500 0.500 0.500
```

Results
Symmetry: Pm-3m (221)

=====

Version x
VASP calculation (PBE) on crystalline KAl3Pb at its relaxed geometry.

Structure (POSCAR):
```
KAl3Pb
1.0
5.625 0.000 0.000
0.000 5.625 0.000
0.000 0.000 5.625
K Al Pb
1 3 1
direct
0.000 0.000 0.000
0.000 0.000 0.500
0.000 0.500 0.000
0.500 0.000 0.000
0.500 0.500 0.500
```

Results
Symmetry: Pm-3m (221)

=====

Which of them is most stable, and which least? Most stable: version w; least stable: version x.

=====

Version w
VASP calculation (PBE) on crystalline KAlRh2Pb at its relaxed geometry.

Structure (POSCAR):
```
KAlRh2Pb
1.0
5.077 0.000 0.000
0.000 5.077 0.000
0.000 0.000 5.855
K Al Rh Pb
1 1 2 1
direct
0.000 0.000 0.000
0.500 0.500 0.000
0.000 0.500 0.500
0.500 0.000 0.500
0.000 0.000 0.500
```

Results
Symmetry: P4/mmm (123)

=====

Version x
VASP calculation (PBE) on crystalline KAlRh2Pb at its relaxed geometry.

Structure (POSCAR):
```
KAlRh2Pb
1.0
4.844 0.000 0.000
0.000 4.844 0.000
0.000 0.000 5.225
K Al Rh Pb
1 1 2 1
direct
0.000 0.000 0.000
0.000 0.000 0.500
0.000 0.500 0.000
0.500 0.000 0.000
0.500 0.500 0.500
```

Results
Symmetry: P4/mmm (123)

=====

Which of them is most stable, and which least? Most stable: version w; least stable: version x.

=====

Version w
VASP calculation (PBE) on crystalline KAlPd2 at its relaxed geometry.

Structure (POSCAR):
```
KAlPd2
1.0
5.349 0.000 0.000
0.000 5.349 0.000
0.000 0.000 16.198
K Al Pd
4 4 8
direct
0.000 0.000 0.000
0.000 0.500 0.250
0.500 0.000 0.750
0.500 0.500 0.500
0.000 0.000 0.500
0.000 0.500 0.750
0.500 0.000 0.250
0.500 0.500 0.000
0.022 0.750 0.625
0.250 0.022 0.375
0.250 0.478 0.875
0.478 0.750 0.125
0.522 0.250 0.125
0.750 0.522 0.875
0.750 0.978 0.375
0.978 0.250 0.625
```

Results
Symmetry: I-42d (122)

=====

Version x
VASP calculation (PBE) on crystalline KAlPd2 at its relaxed geometry.

Structure (POSCAR):
```
KAlPd2
1.0
6.709 0.000 0.000
0.000 6.709 0.000
0.000 0.000 6.709
K Al Pd
4 4 8
direct
0.000 0.000 0.000
0.000 0.500 0.500
0.500 0.000 0.500
0.500 0.500 0.000
0.000 0.000 0.500
0.000 0.500 0.000
0.500 0.000 0.000
0.500 0.500 0.500
0.250 0.250 0.250
0.250 0.250 0.750
0.250 0.750 0.250
0.250 0.750 0.750
0.750 0.250 0.250
0.750 0.250 0.750
0.750 0.750 0.250
0.750 0.750 0.750
```

Results
Symmetry: Fm-3m (225)

=====

Which of them is most stable, and which least? Most stable: version w; least stable: version x.

=====

Version w
VASP calculation (PBE) on crystalline KAl3Pd at its relaxed geometry.

Structure (POSCAR):
```
KAl3Pd
1.0
5.502 0.000 0.000
0.000 5.502 0.000
0.000 0.000 5.502
K Al Pd
1 3 1
direct
0.000 0.000 0.000
0.000 0.000 0.500
0.000 0.500 0.000
0.500 0.000 0.000
0.500 0.500 0.500
```

Results
Symmetry: Pm-3m (221)

=====

Version x
VASP calculation (PBE) on crystalline KAl3Pd at its relaxed geometry.

Structure (POSCAR):
```
KAl3Pd
1.0
4.896 0.000 0.000
0.000 4.896 0.000
0.000 0.000 4.896
K Al Pd
1 3 1
direct
0.000 0.000 0.000
0.000 0.500 0.500
0.500 0.000 0.500
0.500 0.500 0.000
0.500 0.500 0.500
```

Results
Symmetry: Pm-3m (221)

=====

Which of them is most stable, and which least? Most stable: version x; least stable: version w.

=====

Version w
VASP calculation (PBE) on crystalline KAlPd3 at its relaxed geometry.

Structure (POSCAR):
```
KAlPd3
1.0
4.756 0.000 0.000
0.000 4.756 0.000
0.000 0.000 4.756
K Al Pd
1 1 3
direct
0.000 0.000 0.000
0.500 0.500 0.500
0.000 0.500 0.500
0.500 0.000 0.500
0.500 0.500 0.000
```

Results
Symmetry: Pm-3m (221)

=====

Version x
VASP calculation (PBE) on crystalline KAlPd3 at its relaxed geometry.

Structure (POSCAR):
```
KAlPd3
1.0
4.938 0.000 0.000
0.000 4.938 0.000
0.000 0.000 4.938
K Al Pd
1 1 3
direct
0.000 0.000 0.000
0.500 0.500 0.500
0.000 0.000 0.500
0.000 0.500 0.000
0.500 0.000 0.000
```

Results
Symmetry: Pm-3m (221)

=====

Which of them is most stable, and which least? Most stable: version w; least stable: version x.

=====

Version w
VASP calculation (PBE) on crystalline KRbAl3 at its relaxed geometry.

Structure (POSCAR):
```
KRbAl3
1.0
6.106 0.000 0.000
0.000 6.106 0.000
0.000 0.000 6.106
K Rb Al
1 1 3
direct
0.000 0.000 0.000
0.500 0.500 0.500
0.000 0.000 0.500
0.000 0.500 0.000
0.500 0.000 0.000
```

Results
Symmetry: Pm-3m (221)

=====

Version x
VASP calculation (PBE) on crystalline KRbAl3 at its relaxed geometry.

Structure (POSCAR):
```
KRbAl3
1.0
6.210 0.000 0.000
0.000 6.210 0.000
0.000 0.000 6.210
K Rb Al
1 1 3
direct
0.000 0.000 0.000
0.500 0.500 0.500
0.000 0.500 0.500
0.500 0.000 0.500
0.500 0.500 0.000
```

Results
Symmetry: Pm-3m (221)

=====

Which of them is most stable, and which least? Most stable: version w; least stable: version x.

=====

Version w
VASP calculation (PBE) on crystalline K3RbAl at its relaxed geometry.

Structure (POSCAR):
```
K3RbAl
1.0
6.908 0.000 0.000
0.000 6.908 0.000
0.000 0.000 6.908
K Rb Al
3 1 1
direct
0.000 0.000 0.500
0.000 0.500 0.000
0.500 0.000 0.000
0.500 0.500 0.500
0.000 0.000 0.000
```

Results
Symmetry: Pm-3m (221)

=====

Version x
VASP calculation (PBE) on crystalline K3RbAl at its relaxed geometry.

Structure (POSCAR):
```
K3RbAl
1.0
7.348 0.000 0.000
0.000 7.348 0.000
0.000 0.000 7.348
K Rb Al
3 1 1
direct
0.000 0.000 0.500
0.000 0.500 0.000
0.500 0.000 0.000
0.000 0.000 0.000
0.500 0.500 0.500
```

Results
Symmetry: Pm-3m (221)

=====

Which of them is most stable, and which least? Most stable: version w; least stable: version x.

=====

Version w
VASP calculation (PBE) on crystalline KRb3Al at its relaxed geometry.

Structure (POSCAR):
```
KRb3Al
1.0
7.209 0.000 0.000
0.000 7.209 0.000
0.000 0.000 7.209
K Rb Al
1 3 1
direct
0.000 0.000 0.000
0.000 0.500 0.500
0.500 0.000 0.500
0.500 0.500 0.000
0.500 0.500 0.500
```

Results
Symmetry: Pm-3m (221)

=====

Version x
VASP calculation (PBE) on crystalline KRb3Al at its relaxed geometry.

Structure (POSCAR):
```
KRb3Al
1.0
7.611 0.000 0.000
0.000 7.611 0.000
0.000 0.000 7.611
K Rb Al
1 3 1
direct
0.000 0.000 0.000
0.000 0.000 0.500
0.000 0.500 0.000
0.500 0.000 0.000
0.500 0.500 0.500
```

Results
Symmetry: Pm-3m (221)

=====

Which of them is most stable, and which least? Most stable: version w; least stable: version x.

=====

Version w
VASP calculation (PBE) on crystalline KRbAl2 at its relaxed geometry.

Structure (POSCAR):
```
KRbAl2
1.0
9.922 0.000 0.000
0.000 9.922 0.000
0.000 0.000 6.194
K Rb Al
4 4 8
direct
0.000 0.000 0.000
0.000 0.500 0.250
0.500 0.000 0.750
0.500 0.500 0.500
0.000 0.000 0.500
0.000 0.500 0.750
0.500 0.000 0.250
0.500 0.500 0.000
0.242 0.250 0.125
0.250 0.742 0.375
0.250 0.758 0.875
0.258 0.250 0.625
0.742 0.750 0.625
0.750 0.242 0.875
0.750 0.258 0.375
0.758 0.750 0.125
```

Results
Symmetry: I-42d (122)

=====

Version x
VASP calculation (PBE) on crystalline KRbAl2 at its relaxed geometry.

Structure (POSCAR):
```
KRbAl2
1.0
8.431 0.000 0.000
0.000 8.431 0.000
0.000 0.000 8.431
K Rb Al
4 4 8
direct
0.000 0.000 0.000
0.000 0.500 0.500
0.500 0.000 0.500
0.500 0.500 0.000
0.000 0.000 0.500
0.000 0.500 0.000
0.500 0.000 0.000
0.500 0.500 0.500
0.250 0.250 0.250
0.250 0.250 0.750
0.250 0.750 0.250
0.250 0.750 0.750
0.750 0.250 0.250
0.750 0.250 0.750
0.750 0.750 0.250
0.750 0.750 0.750
```

Results
Symmetry: Fm-3m (225)

=====

Which of them is most stable, and which least? Most stable: version x; least stable: version w.